# 1
# LiB2Ru2

An optimized crystal structure of LiB2Ru2 (PBE, the Alexandria database).

The energy above the most stable polymorph in this dataset is 471.8 meV per atom. The value obtained for the energy relative to the elements is 0.139 eV/atom. Its energy is -66.25 eV for the cell shown.

The structure belongs to space group I4/mmm (No. 139); the cell edges are 3.767, 3.767 and 8.623 Å and the angles 90.00°, 90.00° and 90.00°. The inequivalent atoms are Li at (0.000, 0.000, 0.000), B at (0.000, 0.500, 0.250) and Ru at (0.000, 0.000, 0.358).

***

# 2
# SrV3N

An optimized crystal structure of SrV3N (PBE, the Alexandria database).

The energy above the most stable polymorph in this dataset is 3128.9 meV per atom. The calculation puts the formation energy without anion corrections at 17.3 eV/f.u. Its energy is -20.02 eV for the cell shown.

The structure belongs to space group Pm-3m (No. 221); the cell edges are 4.486, 4.486 and 4.486 Å and the angles 90.00°, 90.00° and 90.00°. The inequivalent atoms are Sr at (0.000, 0.000, 0.000), V at (0.000, 0.000, 0.500) and N at (0.500, 0.500, 0.500).

***

# 3
# SmEr3Sc7

An optimized crystal structure of SmEr3Sc7 (PBE, the Alexandria database).

The value obtained for the energy relative to the elements is 0.289 eV/atom. Its energy is -119.10 eV for the cell shown.

The structure belongs to space group Immm (No. 71); the cell edges are 5.427, 10.470 and 10.719 Å and the angles 90.00°, 90.00° and 90.00°. The inequivalent atoms are Sm at (0.000, 0.000, 0.000), Er at (0.000, 0.209, 0.500), Er at (0.000, 0.500, 0.000), Sc at (0.000, 0.000, 0.293), Sc at (0.000, 0.309, 0.217) and Sc at (0.000, 0.500, 0.500).